1.
First-principles (PBE) data for a relaxed structure of Ac8Nd4Ho, as listed in Alexandria.

Unit cell a=11.8458 b=11.8458 c=14.4682 alpha=90.00 beta=90.00 gamma=120.00
With the nearest neighbours (Å) after each atom.
Space group R-3m (No. 166, hexagonal axes)
Symmetry-distinct sites (fractional):
Ac 0.0000 0.0000 0.2403 x6  4 Nd 3.48-3.67, 1 Ho 3.76
Ac 0.0121 0.5060 0.7464 x18  4 Nd 3.49-3.67, 1 Ho 3.76
Nd 0.0000 0.0000 0.0000 x3  8 Ac 3.48-3.49
Nd 0.0000 0.5000 0.0000 x9  8 Ac 3.67
Ho 0.0000 0.0000 0.5000 x3  8 Ac 3.76, 6 Nd 4.18

## Properties
Fermi-level density of states   1.606 states/eV/atom
Formation energy   0.400 eV per atom
Total energy   -153.94 eV per cell



2.
First-principles (PBE) data for a relaxed structure of ErTm2UP4, as listed in Alexandria.

Unit cell a=6.8260 b=3.9344 c=6.8299 alpha=90.00 beta=109.26 gamma=90.00
With the nearest neighbours (Å) after each atom.
Space group P2/m (No. 10)
Symmetry-distinct sites (fractional):
Er 0.0000 0.0000 0.0000 x1  6 P 2.79
Tm 0.5000 0.0000 0.5000 x1  6 P 2.78
Tm 0.5000 0.5000 0.0000 x1  6 P 2.80-2.81
U 0.0000 0.5000 0.5000 x1  6 P 2.75-2.78
P 0.2482 0.5000 0.2536 x2  1 U 2.75, 3 Tm 2.78-2.81, 2 Er 2.79
P 0.2487 0.0000 0.7479 x2  2 U 2.78, 3 Tm 2.78-2.80, 1 Er 2.79

## Properties
Fermi-level density of states   0.825 states/eV/atom
Formation energy   -1.446 eV per atom
Total energy   -58.00 eV per cell



3.
First-principles (PBE) data for a relaxed structure of Pu2MgAs4Rh3, as listed in Alexandria.

Unit cell a=4.2401 b=4.2401 c=10.5172 alpha=90.00 beta=90.00 gamma=90.00
With the nearest neighbours (Å) after each atom.
Space group P-4m2 (No. 115)
Symmetry-distinct sites (fractional):
Pu 0.0000 0.5000 0.2378 x2  8 As 3.23-3.28, 6 Rh 3.25-3.48, 2 Mg 3.48
Mg 0.0000 0.0000 0.5000 x1  4 As 2.64
As 0.0000 0.0000 0.0000 x1  4 Rh 2.46
As 0.0000 0.5000 0.6490 x2  3 Rh 2.44-2.64, 2 Mg 2.64
As 0.5000 0.5000 0.0000 x1  4 Rh 2.46
Rh 0.0000 0.5000 0.8811 x2  5 As 2.44-2.46
Rh 0.5000 0.5000 0.5000 x1  4 As 2.64

## Properties
Fermi-level density of states   2.682 states/eV/atom
Formation energy   -0.675 eV per atom
Total energy   -77.66 eV per cell



4.
First-principles (PBE) data for a relaxed structure of NaYSc2F, as listed in Alexandria.

Unit cell a=6.2435 b=6.2435 c=4.2274 alpha=90.00 beta=90.00 gamma=90.00
With the nearest neighbours (Å) after each atom.
Space group P4/mmm (No. 123)
Symmetry-distinct sites (fractional):
Na 0.0000 0.0000 0.0000 x1  8 Sc 3.77
Y 0.5000 0.5000 0.5000 x1  2 F 2.11
Sc 0.0000 0.5000 0.5000 x2  2 Y 3.12
F 0.5000 0.5000 0.0000 x1  2 Y 2.11

## Properties
Fermi-level density of states   1.475 states/eV/atom
Total energy   -23.05 eV per cell
Raw formation energy   -146.5 meV per atom



5.
First-principles (PBE) data for a relaxed structure of Hf2AsC, as listed in Alexandria.

Unit cell a=3.4592 b=3.4592 c=18.5137 alpha=90.00 beta=90.00 gamma=120.00
With the nearest neighbours (Å) after each atom.
Space group R-3m (No. 166, hexagonal axes)
Symmetry-distinct sites (fractional):
Hf 0.0000 0.0000 0.2329 x6  3 C 2.34
As 0.0000 0.0000 0.0000 x3  6 Hf 2.73
C 0.0000 0.0000 0.5000 x3  6 Hf 2.34

## Properties
Fermi-level density of states   0.512 states/eV/atom
Formation energy   -0.921 eV per atom
Total energy   -112.39 eV per cell



6.
First-principles (PBE) data for a relaxed structure of LiFe2Ir, as listed in Alexandria.

Unit cell a=4.1325 b=4.1325 c=5.8307 alpha=90.00 beta=90.00 gamma=90.00
With the nearest neighbours (Å) after each atom.
Space group I-4m2 (No. 119)
Symmetry-distinct sites (fractional):
Li 0.0000 0.0000 0.0000 x2  4 Fe 2.53, 4 Ir 2.53
Fe 0.0000 0.0000 0.5000 x2  4 Fe 2.53, 4 Ir 2.53
Fe 0.0000 0.5000 0.2500 x2  4 Fe 2.53, 4 Li 2.53
Ir 0.0000 0.5000 0.7500 x2  4 Fe 2.53, 4 Li 2.53

## Properties
Fermi-level density of states   1.421 states/eV/atom
Formation energy   0.070 eV per atom
Total energy   -54.84 eV per cell



7.
First-principles (PBE) data for a relaxed structure of Sr2Li12Tl7, as listed in Alexandria.

Unit cell a=10.8485 b=10.8485 c=4.6318 alpha=90.00 beta=90.00 gamma=120.00
With the nearest neighbours (Å) after each atom.
Space group P-6 (No. 174)
Symmetry-distinct sites (fractional):
Sr 0.0000 0.0000 0.0000 x1  6 Li 3.50-3.52, 6 Tl 3.64
Sr 0.3333 0.6667 0.5000 x1  9 Li 3.61-3.91, 9 Tl 3.69-3.98
Li 0.1850 0.3726 0.0000 x3  4 Tl 2.79-2.85, 2 Li 2.97
Li 0.2995 0.2903 0.5000 x3  5 Li 2.92-2.97, 4 Tl 2.96-3.19
Li 0.3744 0.1769 0.0000 x3  4 Tl 2.75-3.05, 4 Li 2.92-3.04
Li 0.5475 0.1600 0.5000 x3  5 Tl 2.80-2.94, 5 Li 2.89-3.04
Tl 0.0152 0.2660 0.5000 x3  7 Li 2.80-3.08
Tl 0.0273 0.5185 0.0000 x3  5 Li 2.79-3.05
Tl 0.6667 0.3333 0.0000 x1  9 Li 2.75-2.85

## Properties
Fermi-level density of states   0.345 states/eV/atom
Formation energy   -0.238 eV per atom
Total energy   -47.90 eV per cell



8.
First-principles (PBE) data for a relaxed structure of La3SN2, as listed in Alexandria.

Unit cell a=3.9717 b=13.1712 c=10.1119 alpha=90.00 beta=90.00 gamma=90.00
With the nearest neighbours (Å) after each atom.
Space group Cmcm (No. 63)
Symmetry-distinct sites (fractional):
La 0.0000 0.0708 0.2500 x4  2 N 2.36
La 0.0000 0.3778 0.0668 x8  1 N 2.24
S 0.0000 0.2504 0.7500 x4  6 La 3.08-3.20
N 0.0000 0.0000 0.0000 x4  6 La 2.64-2.69
N 0.0000 0.4738 0.2500 x4  4 La 2.24-2.36

## Properties
Fermi-level density of states   0.434 states/eV/atom
Total energy   -178.57 eV per cell
Energy above the most stable polymorph in this dataset   0.000 eV/atom
Raw formation energy   -1513.8 meV per atom



9.
First-principles (PBE) data for a relaxed structure of NdDy5Ir6, as listed in Alexandria.

Unit cell a=4.9580 b=6.6645 c=7.8334 alpha=90.00 beta=108.28 gamma=90.00
With the nearest neighbours (Å) after each atom.
Space group P2/m (No. 10)
Symmetry-distinct sites (fractional):
Nd 0.0000 0.0000 0.0000 x1  8 Ir 3.01-3.03, 2 Dy 3.33
Dy 0.0000 0.5000 0.0000 x1  8 Ir 2.96-3.01
Dy 0.3326 0.0000 0.6651 x2  8 Ir 2.95-3.02
Dy 0.3333 0.5000 0.6666 x2  8 Ir 2.95-2.98
Ir 0.1692 0.2525 0.3386 x4  7 Dy 2.95-3.01, 1 Nd 3.03
Ir 0.5000 0.2563 0.0000 x2  6 Dy 2.96-3.02, 2 Nd 3.01, 1 Ir 3.25

## Properties
Fermi-level density of states   0.370 states/eV/atom
Formation energy   -0.760 eV per atom
Total energy   -90.06 eV per cell



10.
First-principles (PBE) data for a relaxed structure of PrYSi4, as listed in Alexandria.

Unit cell a=8.2639 b=14.7601 c=4.1521 alpha=90.00 beta=90.00 gamma=90.00
With the nearest neighbours (Å) after each atom.
Space group Pbam (No. 55)
Symmetry-distinct sites (fractional):
Pr 0.1182 0.1387 0.0000 x4  12 Si 3.21-3.56
Y 0.1401 0.4119 0.0000 x4  10 Si 2.87-3.03
Si 0.0206 0.2950 0.5000 x4  3 Si 2.29-2.48
Si 0.1218 0.5571 0.5000 x4  3 Si 2.48-2.63
Si 0.1255 0.9628 0.5000 x4  3 Si 2.35-2.51
Si 0.1933 0.8039 0.5000 x4  3 Si 2.29-2.41

## Properties
Fermi-level density of states   0.352 states/eV/atom
Total energy   -142.79 eV per cell
Raw formation energy   -460.2 meV per atom



11.
First-principles (PBE) data for a relaxed structure of Nd3Sm2Tm2, as listed in Alexandria.

Unit cell a=11.9566 b=3.6172 c=10.8250 alpha=90.00 beta=95.93 gamma=90.00
With the nearest neighbours (Å) after each atom.
Space group C2/m (No. 12)
Symmetry-distinct sites (fractional):
Nd 0.0000 0.0000 0.0000 x2  6 Sm 3.59-3.62, 4 Tm 3.61, 2 Nd 3.62
Nd 0.1417 0.0000 0.5706 x4  5 Nd 3.57-3.62, 5 Tm 3.60-3.62, 2 Sm 3.62
Sm 0.2154 0.5000 0.8566 x4  5 Nd 3.59-3.62, 3 Tm 3.60-3.61, 4 Sm 3.61-3.62
Tm 0.0716 0.5000 0.2856 x4  3 Sm 3.60-3.61, 7 Nd 3.60-3.62, 2 Tm 3.62

## Properties
Fermi-level density of states   1.286 states/eV/atom
Formation energy   0.017 eV per atom
Total energy   -65.14 eV per cell
Energy above the most stable polymorph in this dataset   0.000 eV/atom



12.
First-principles (PBE) data for a relaxed structure of MgTl2Ru, as listed in Alexandria.

Unit cell a=6.3099 b=7.3943 c=3.4463 alpha=90.00 beta=90.00 gamma=90.00
With the nearest neighbours (Å) after each atom.
Space group Cmmm (No. 65)
Symmetry-distinct sites (fractional):
Mg 0.0000 0.0000 0.0000 x2  8 Tl 2.98, 2 Ru 3.15
Tl 0.2500 0.2500 0.5000 x4  4 Mg 2.98, 4 Ru 2.98, 2 Tl 3.15
Ru 0.0000 0.5000 0.0000 x2  8 Tl 2.98, 2 Mg 3.15

## Properties
Fermi-level density of states   0.900 states/eV/atom
Formation energy   0.400 eV per atom
Total energy   -28.01 eV per cell
Energy above the most stable polymorph in this dataset   0.176 eV/atom



13.
First-principles (PBE) data for a relaxed structure of PuSc2In, as listed in Alexandria.

Unit cell a=7.2692 b=7.2692 c=7.2692 alpha=90.00 beta=90.00 gamma=90.00
With the nearest neighbours (Å) after each atom.
Space group Fm-3m (No. 225)
Symmetry-distinct sites (fractional):
Pu 0.0000 0.0000 0.0000 x4  8 Sc 3.15
Sc 0.2500 0.2500 0.2500 x8  4 In 3.15, 4 Pu 3.15
In 0.0000 0.0000 0.5000 x4  8 Sc 3.15

## Properties
Fermi-level density of states   2.776 states/eV/atom
Formation energy   -0.089 eV per atom
Total energy   -120.36 eV per cell
Energy above the most stable polymorph in this dataset   0.075 eV/atom



14.
First-principles (PBE) data for a relaxed structure of Rb4Np3SnS8, as listed in Alexandria.

Unit cell a=8.3511 b=8.3511 c=22.8003 alpha=90.00 beta=90.00 gamma=120.00
With the nearest neighbours (Å) after each atom.
Space group R-3m (No. 166, hexagonal axes)
Symmetry-distinct sites (fractional):
Rb 0.0000 0.0000 0.0000 x3  6 S 3.29
Rb 0.0000 0.5000 0.0000 x9  6 S 3.37-3.41
Np 0.0000 0.5000 0.5000 x9  6 S 2.76-2.81
Sn 0.0000 0.0000 0.5000 x3  6 S 2.91
S 0.0000 0.0000 0.2298 x6  3 Np 2.81
S 0.0161 0.5080 0.7698 x18  2 Np 2.76, 1 Sn 2.91

## Properties
Fermi-level density of states   1.985 states/eV/atom
Total energy   -298.80 eV per cell
Raw formation energy   -1242.9 meV per atom



15.
First-principles (PBE) data for a relaxed structure of Cs2AcGeSe4, as listed in Alexandria.

Unit cell a=7.1270 b=15.4905 c=27.1938 alpha=90.00 beta=90.00 gamma=90.00
With the nearest neighbours (Å) after each atom.
Space group Fddd (No. 70, origin choice 2)
Symmetry-distinct sites (fractional):
Cs 0.1250 0.1250 0.3100 x16  4 Se 3.92-4.03
Ac 0.1250 0.1250 0.1250 x8  4 Se 2.93
Ge 0.1250 0.1250 0.6250 x8  4 Se 2.56
Se 0.0842 0.2749 0.8242 x32  1 Ge 2.56

## Properties
Fermi-level density of states   0.453 states/eV/atom
Total energy   -259.23 eV per cell
Raw formation energy   -1004.1 meV per atom



16.
First-principles (PBE) data for a relaxed structure of Er2HfMg2, as listed in Alexandria.

Unit cell a=3.3614 b=3.3614 c=22.7576 alpha=90.00 beta=90.00 gamma=90.00
With the nearest neighbours (Å) after each atom.
Space group I4/mmm (No. 139)
Symmetry-distinct sites (fractional):
Er 0.0000 0.0000 0.0995 x4  4 Hf 3.28, 4 Er 3.36, 4 Mg 3.40
Hf 0.0000 0.0000 0.5000 x2  8 Er 3.28, 4 Hf 3.36
Mg 0.0000 0.0000 0.2939 x4  8 Mg 3.10-3.36, 4 Er 3.40

## Properties
Fermi-level density of states   0.699 states/eV/atom
Formation energy   -0.021 eV per atom
Total energy   -44.75 eV per cell